(1)
The following is a DFT calculation (PBE) of crystalline Ca2TeS at its relaxed geometry.

Results
uncorrected formation energy = -1.61 eV/atom
offset from the most stable computed form = 0.246 eV per atom
magnetic moment = 0.0 μB per formula unit
D(E_F) = 0.00 states/eV/cell
VASP energy = -4.43 eV/atom
volume = 37.381 Å³ per atom

a b c (Å): 4.681 4.681 8.333
angles (deg): 106.19 106.19 59.85
Fractional coordinates of all 4 atoms:
Ca 0.000 0.000 0.000
Ca 0.520 0.520 0.555
Te 0.132 0.132 0.388
S 0.634 0.634 0.901

***

(2)
The following is a DFT calculation (PBE) of crystalline Ca3TeS2 at its relaxed geometry.

Results
uncorrected formation energy = -1.93 eV/atom
magnetic moment = 0.0 μB per formula unit
D(E_F) = 0.00 states/eV/cell
VASP energy = -4.83 eV/atom
volume = 26.460 Å³ per atom

a b c (Å): 7.303 7.303 7.303
angles (deg): 146.78 131.33 60.20
Fractional coordinates of all 6 atoms:
Ca 0.000 0.000 0.000
Ca 0.316 0.316 0.000
Ca 0.684 0.684 0.000
Te 0.500 0.000 0.500
S 0.165 0.665 0.500
S 0.835 0.335 0.500

***

(3)
The following is a DFT calculation (PBE) of crystalline CaTeS2 at its relaxed geometry.

Results
uncorrected formation energy = -0.63 eV/atom
magnetic moment = 0.0 μB per formula unit
D(E_F) = 0.02 states/eV/cell
VASP energy = -3.98 eV/atom
volume = 29.812 Å³ per atom

a b c (Å): 8.834 8.834 8.834
angles (deg): 143.86 143.86 52.04
Fractional coordinates of all 8 atoms:
Ca 0.000 0.000 0.000
Ca 0.750 0.250 0.500
Te 0.250 0.750 0.500
Te 0.500 0.500 0.000
S 0.145 0.625 0.020
S 0.375 0.395 0.520
S 0.605 0.125 0.980
S 0.875 0.855 0.480

***

(4)
The following is a DFT calculation (PBE) of crystalline Ca2TeS at its relaxed geometry.

Results
uncorrected formation energy = -1.69 eV/atom
offset from the most stable computed form = 0.168 eV per atom
magnetic moment = 0.0 μB per formula unit
D(E_F) = 0.00 states/eV/cell
VASP energy = -4.50 eV/atom
volume = 29.649 Å³ per atom

a b c (Å): 4.184 7.348 7.348
angles (deg): 31.67 90.00 90.00
Fractional coordinates of all 4 atoms:
Ca 0.000 0.000 0.000
Ca 0.500 0.270 0.270
Te 0.500 0.572 0.572
S 0.000 0.810 0.810

***

(5)
The following is a DFT calculation (PBE) of crystalline Ca2TeS at its relaxed geometry.

Results
uncorrected formation energy = -1.48 eV/atom
offset from the most stable computed form = 0.378 eV per atom
magnetic moment = 0.0 μB per formula unit
D(E_F) = 0.00 states/eV/cell
VASP energy = -4.29 eV/atom
volume = 25.959 Å³ per atom

a b c (Å): 5.276 5.276 5.276
angles (deg): 60.00 60.00 60.00
Fractional coordinates of all 4 atoms:
Ca 0.250 0.250 0.250
Ca 0.750 0.750 0.750
Te 0.000 0.000 0.000
S 0.500 0.500 0.500

***

(6)
The following is a DFT calculation (PBE) of crystalline CaTe2S at its relaxed geometry.

Results
uncorrected formation energy = 0.17 eV/atom
magnetic moment = 0.0 μB per formula unit
D(E_F) = 0.86 states/eV/cell
VASP energy = -2.93 eV/atom
volume = 32.295 Å³ per atom

a b c (Å): 9.765 9.765 9.765
angles (deg): 23.42 23.42 23.42
Fractional coordinates of all 4 atoms:
Ca 0.000 0.000 0.000
Te 0.107 0.107 0.107
Te 0.893 0.893 0.893
S 0.500 0.500 0.500

***

(7)
The following is a DFT calculation (PBE) of crystalline CaTeS at its relaxed geometry.

Results
uncorrected formation energy = -1.21 eV/atom
magnetic moment = 0.0 μB per formula unit
VASP energy = -4.30 eV/atom
volume = 29.500 Å³ per atom

a b c (Å): 5.021 5.021 10.012
angles (deg): 110.56 110.56 49.50
Fractional coordinates of all 6 atoms:
Ca 0.083 0.083 0.340
Ca 0.917 0.917 0.660
Te 0.265 0.265 0.106
Te 0.735 0.735 0.894
S 0.213 0.213 0.644
S 0.787 0.787 0.356

***

(8)
The following is a DFT calculation (PBE) of crystalline Ca2TeS at its relaxed geometry.

Results
uncorrected formation energy = -1.64 eV/atom
offset from the most stable computed form = 0.213 eV per atom
magnetic moment = 0.0 μB per formula unit
D(E_F) = 0.00 states/eV/cell
VASP energy = -4.46 eV/atom
volume = 28.934 Å³ per atom

a b c (Å): 5.649 5.649 7.263
angles (deg): 129.19 129.19 42.85
Fractional coordinates of all 4 atoms:
Ca 0.000 0.000 0.000
Ca 0.542 0.542 0.546
Te 0.773 0.773 0.129
S 0.274 0.274 0.626

***

(9)
The following is a DFT calculation (PBE) of crystalline Ca2TeS at its relaxed geometry.

Results
uncorrected formation energy = -1.79 eV/atom
offset from the most stable computed form = 0.065 eV per atom
magnetic moment = 0.0 μB per formula unit
D(E_F) = 0.00 states/eV/cell
VASP energy = -4.61 eV/atom
volume = 28.329 Å³ per atom

a b c (Å): 4.311 4.311 6.097
angles (deg): 90.00 90.00 90.00
Fractional coordinates of all 4 atoms:
Ca 0.000 0.000 0.000
Ca 0.500 0.500 0.500
Te 0.000 0.000 0.500
S 0.500 0.500 0.000

***

(10)
The following is a DFT calculation (PBE) of crystalline Ca2TeS at its relaxed geometry.

Results
uncorrected formation energy = -1.64 eV/atom
offset from the most stable computed form = 0.211 eV per atom
magnetic moment = 0.0 μB per formula unit
D(E_F) = 0.00 states/eV/cell
VASP energy = -4.46 eV/atom
volume = 37.195 Å³ per atom

a b c (Å): 7.966 7.966 7.966
angles (deg): 128.97 128.97 75.06
Fractional coordinates of all 8 atoms:
Ca 0.084 0.625 0.959
Ca 0.375 0.334 0.459
Ca 0.666 0.125 0.041
Ca 0.875 0.916 0.541
Te 0.250 0.750 0.500
Te 0.500 0.500 0.000
S 0.000 0.000 0.000
S 0.750 0.250 0.500

***

(11)
The following is a DFT calculation (PBE) of crystalline CaTe2S2 at its relaxed geometry.

Results
uncorrected formation energy = -0.25 eV/atom
offset from the most stable computed form = 0.282 eV per atom
magnetic moment = 0.0 μB per formula unit
D(E_F) = 2.24 states/eV/cell
VASP energy = -3.55 eV/atom
volume = 31.064 Å³ per atom

a b c (Å): 6.333 6.333 6.333
angles (deg): 127.44 127.44 77.54
Fractional coordinates of all 5 atoms:
Ca 0.000 0.000 0.000
Te 0.301 0.301 0.000
Te 0.699 0.699 0.000
S 0.250 0.750 0.500
S 0.750 0.250 0.500

***

(12)
The following is a DFT calculation (PBE) of crystalline Ca2TeS at its relaxed geometry.

Results
uncorrected formation energy = -1.67 eV/atom
offset from the most stable computed form = 0.182 eV per atom
magnetic moment = 0.0 μB per formula unit
D(E_F) = 0.00 states/eV/cell
VASP energy = -4.49 eV/atom
volume = 34.664 Å³ per atom

a b c (Å): 6.035 5.136 5.136
angles (deg): 60.56 90.00 90.00
Fractional coordinates of all 4 atoms:
Ca 0.000 0.000 0.000
Ca 0.500 0.334 0.334
Te 0.500 0.998 0.998
S 0.000 0.334 0.334